A relaxed FeClO crystal, computed with GGA+U.

Cell lengths 6.658, 6.455, 5.740 Å; angles 90.00, 112.66, 90.00 degrees
Space group P2_1/c (No. 14)
One atom of each set of equivalent atoms:
Fe 0.004 0.129 0.292 x4
Cl 0.263 0.603 0.687 x4
O 0.119 0.139 0.660 x4

Output
The density is 3.13 g/cm3. Its polymorph energy (0 for the lowest one) is 112 meV/atom. The value obtained for the density of states at the Fermi level is 0.000 states/eV per atom.